P | # ZrTaGe3 (PBE-GGA, relaxed)
data_ZrTaGe3
_chemical_formula_sum 'Zr1 Ta1 Ge3'
_cell_length_a 4.9101
_cell_length_b 4.9101
_cell_length_c 4.9101
_cell_angle_alpha 90.00
_cell_angle_beta 90.00
_cell_angle_gamma 90.00
_space_group_name_H-M_alt 'P m -3 m'
_space_group_IT_number 221
_space_group_name_Hall '-P 4 2 3'
loop_
_atom_site_label
_atom_site_type_symbol
_atom_site_fract_x
_atom_site_fract_y
_atom_site_fract_z
Zr1 Zr 0.0000 0.0000 0.0000
Ta1 Ta 0.5000 0.5000 0.5000
Ge1 Ge 0.0000 0.5000 0.5000
# Crystal system: cubic
# Total magnetization in μB/f.u.: 0.52


Q | # ZrTaGe3 (PBE-GGA, relaxed)
data_ZrTaGe3
_chemical_formula_sum 'Zr1 Ta1 Ge3'
_cell_length_a 4.9948
_cell_length_b 4.9948
_cell_length_c 4.9948
_cell_angle_alpha 90.00
_cell_angle_beta 90.00
_cell_angle_gamma 90.00
_space_group_name_H-M_alt 'P m -3 m'
_space_group_IT_number 221
_space_group_name_Hall '-P 4 2 3'
loop_
_atom_site_label
_atom_site_type_symbol
_atom_site_fract_x
_atom_site_fract_y
_atom_site_fract_z
Zr1 Zr 0.0000 0.0000 0.0000
Ta1 Ta 0.5000 0.5000 0.5000
Ge1 Ge 0.0000 0.0000 0.5000
# Crystal system: cubic
# Total magnetization in μB/f.u.: 0.00


What is the stability order? It is P, Q, from most stable to least stable.


P | # Tb5Ge4 (PBE-GGA, relaxed)
data_Tb5Ge4
_chemical_formula_sum 'Tb20 Ge16'
_cell_length_a 7.6984
_cell_length_b 14.7823
_cell_length_c 7.7762
_cell_angle_alpha 90.00
_cell_angle_beta 90.00
_cell_angle_gamma 90.00
_space_group_name_H-M_alt 'P n m a'
_space_group_IT_number 62
_space_group_name_Hall '-P 2ac 2n'
loop_
_atom_site_label
_atom_site_type_symbol
_atom_site_fract_x
_atom_site_fract_y
_atom_site_fract_z
Tb1 Tb 0.0315 0.1026 0.1764
Tb2 Tb 0.1178 0.6162 0.3391
Tb3 Tb 0.2169 0.2500 0.5020
Ge1 Ge 0.0865 0.2500 0.8831
Ge2 Ge 0.1643 0.7500 0.6362
Ge3 Ge 0.2229 0.0446 0.5302
# Crystal system: orthorhombic
# Total magnetization in μB/f.u.: 0.00


Q | # Tb5Ge4 (PBE-GGA, relaxed)
data_Tb5Ge4
_chemical_formula_sum 'Tb10 Ge8'
_cell_length_a 10.8716
_cell_length_b 4.3333
_cell_length_c 9.9485
_cell_angle_alpha 90.00
_cell_angle_beta 112.12
_cell_angle_gamma 90.00
_space_group_name_H-M_alt 'C 1 2/m 1'
_space_group_IT_number 12
_space_group_name_Hall '-C 2y'
loop_
_atom_site_label
_atom_site_type_symbol
_atom_site_fract_x
_atom_site_fract_y
_atom_site_fract_z
Tb1 Tb 0.0000 0.0000 0.0000
Tb2 Tb 0.0975 0.0000 0.3907
Tb3 Tb 0.2460 0.0000 0.8313
Ge1 Ge 0.0463 0.5000 0.8329
Ge2 Ge 0.1296 0.5000 0.6098
# Crystal system: monoclinic
# Total magnetization in μB/f.u.: 0.00


What is the stability order? It is P, Q, from most stable to least stable.


P | # Tb2TcGe2 (PBE-GGA, relaxed)
data_Tb2TcGe2
_chemical_formula_sum 'Tb8 Tc4 Ge8'
_cell_length_a 6.3366
_cell_length_b 12.0814
_cell_length_c 6.1186
_cell_angle_alpha 90.00
_cell_angle_beta 90.00
_cell_angle_gamma 90.00
_space_group_name_H-M_alt 'I b a m'
_space_group_IT_number 72
_space_group_name_Hall '-I 2 2c'
loop_
_atom_site_label
_atom_site_type_symbol
_atom_site_fract_x
_atom_site_fract_y
_atom_site_fract_z
Tb1 Tb 0.2050 0.1444 0.0000
Tc1 Tc 0.0000 0.5000 0.2500
Ge1 Ge 0.2385 0.3940 0.0000
# Crystal system: orthorhombic
# Total magnetization in μB/f.u.: 0.00


Q | # Tb2TcGe2 (PBE-GGA, relaxed)
data_Tb2TcGe2
_chemical_formula_sum 'Tb8 Tc4 Ge8'
_cell_length_a 11.0551
_cell_length_b 4.2456
_cell_length_c 10.3237
_cell_angle_alpha 90.00
_cell_angle_beta 118.34
_cell_angle_gamma 90.00
_space_group_name_H-M_alt 'C 1 2/m 1'
_space_group_IT_number 12
_space_group_name_Hall '-C 2y'
loop_
_atom_site_label
_atom_site_type_symbol
_atom_site_fract_x
_atom_site_fract_y
_atom_site_fract_z
Tb1 Tb 0.0028 0.0000 0.1752
Tb2 Tb 0.1855 0.0000 0.6117
Tc1 Tc 0.2247 0.5000 0.8690
Ge1 Ge 0.0078 0.5000 0.3766
Ge2 Ge 0.1430 0.5000 0.0634
# Crystal system: monoclinic
# Total magnetization in μB/f.u.: 0.00


What is the stability order? It is Q, P, from most stable to least stable.


P | # TbTcGe2 (PBE-GGA, relaxed)
data_TbTcGe2
_chemical_formula_sum 'Tb3 Tc3 Ge6'
_cell_length_a 4.7390
_cell_length_b 4.7390
_cell_length_c 19.5198
_cell_angle_alpha 90.00
_cell_angle_beta 90.00
_cell_angle_gamma 120.00
_space_group_name_H-M_alt 'R -3 m'
_space_group_IT_number 166
_space_group_name_Hall '-R 3 2"'
loop_
_atom_site_label
_atom_site_type_symbol
_atom_site_fract_x
_atom_site_fract_y
_atom_site_fract_z
Tb1 Tb 0.0000 0.0000 0.0000
Tc1 Tc 0.0000 0.0000 0.5000
Ge1 Ge 0.0000 0.0000 0.3770
# Crystal system: trigonal
# Total magnetization in μB/f.u.: 2.88


Q | # TbTcGe2 (PBE-GGA, relaxed)
data_TbTcGe2
_chemical_formula_sum 'Tb1 Tc1 Ge2'
_cell_length_a 3.2312
_cell_length_b 3.2312
_cell_length_c 6.9076
_cell_angle_alpha 90.00
_cell_angle_beta 90.00
_cell_angle_gamma 90.00
_space_group_name_H-M_alt 'P 4/m m m'
_space_group_IT_number 123
_space_group_name_Hall '-P 4 2'
loop_
_atom_site_label
_atom_site_type_symbol
_atom_site_fract_x
_atom_site_fract_y
_atom_site_fract_z
Tb1 Tb 0.0000 0.0000 0.0000
Tc1 Tc 0.0000 0.0000 0.5000
Ge1 Ge 0.5000 0.5000 0.2995
# Crystal system: tetragonal
# Total magnetization in μB/f.u.: 0.00


What is the stability order? It is Q, P, from most stable to least stable.


P | # Tb2GeTe (PBE-GGA, relaxed)
data_Tb2GeTe
_chemical_formula_sum 'Tb6 Ge3 Te3'
_cell_length_a 4.2613
_cell_length_b 4.2613
_cell_length_c 21.3414
_cell_angle_alpha 90.00
_cell_angle_beta 90.00
_cell_angle_gamma 120.00
_space_group_name_H-M_alt 'R -3 m'
_space_group_IT_number 166
_space_group_name_Hall '-R 3 2"'
loop_
_atom_site_label
_atom_site_type_symbol
_atom_site_fract_x
_atom_site_fract_y
_atom_site_fract_z
Tb1 Tb 0.0000 0.0000 0.2403
Ge1 Ge 0.0000 0.0000 0.5000
Te1 Te 0.0000 0.0000 0.0000
# Crystal system: trigonal
# Total magnetization in μB/f.u.: 0.00


Q | # Tb2GeTe (PBE-GGA, relaxed)
data_Tb2GeTe
_chemical_formula_sum 'Tb6 Ge3 Te3'
_cell_length_a 4.2397
_cell_length_b 4.2397
_cell_length_c 21.8672
_cell_angle_alpha 90.00
_cell_angle_beta 90.00
_cell_angle_gamma 120.00
_space_group_name_H-M_alt 'R 3 m'
_space_group_IT_number 160
_space_group_name_Hall 'R 3 -2"'
loop_
_atom_site_label
_atom_site_type_symbol
_atom_site_fract_x
_atom_site_fract_y
_atom_site_fract_z
Tb1 Tb 0.0000 0.0000 0.0000
Tb2 Tb 0.0000 0.0000 0.1895
Ge1 Ge 0.0000 0.0000 0.5962
Te1 Te 0.0000 0.0000 0.4269
# Crystal system: trigonal
# Total magnetization in μB/f.u.: 0.00


What is the stability order? It is P, Q, from most stable to least stable.


P | # TbThGe (PBE-GGA, relaxed)
data_TbThGe
_chemical_formula_sum 'Tb2 Th2 Ge2'
_cell_length_a 3.8831
_cell_length_b 3.8831
_cell_length_c 10.4945
_cell_angle_alpha 90.00
_cell_angle_beta 90.00
_cell_angle_gamma 90.00
_space_group_name_H-M_alt 'I 4 m m'
_space_group_IT_number 107
_space_group_name_Hall 'I 4 -2'
loop_
_atom_site_label
_atom_site_type_symbol
_atom_site_fract_x
_atom_site_fract_y
_atom_site_fract_z
Tb1 Tb 0.0000 0.0000 0.0000
Th1 Th 0.0000 0.0000 0.2905
Ge1 Ge 0.0000 0.0000 0.6334
# Crystal system: tetragonal
# Total magnetization in μB/f.u.: 0.00


Q | # TbThGe (PBE-GGA, relaxed)
data_TbThGe
_chemical_formula_sum 'Tb1 Th1 Ge1'
_cell_length_a 4.8449
_cell_length_b 4.8449
_cell_length_c 4.0933
_cell_angle_alpha 90.00
_cell_angle_beta 90.00
_cell_angle_gamma 120.00
_space_group_name_H-M_alt 'P 3 m 1'
_space_group_IT_number 156
_space_group_name_Hall 'P 3 -2"'
loop_
_atom_site_label
_atom_site_type_symbol
_atom_site_fract_x
_atom_site_fract_y
_atom_site_fract_z
Tb1 Tb 0.0000 0.0000 0.0000
Th1 Th 0.3333 0.6667 0.5132
Ge1 Ge 0.6667 0.3333 0.1624
# Crystal system: trigonal
# Total magnetization in μB/f.u.: 0.00


What is the stability order? It is P, Q, from most stable to least stable.


P | # Tb5Tl2Ge (PBE-GGA, relaxed)
data_Tb5Tl2Ge
_chemical_formula_sum 'Tb5 Tl2 Ge1'
_cell_length_a 6.2512
_cell_length_b 6.5065
_cell_length_c 6.5887
_cell_angle_alpha 116.01
_cell_angle_beta 98.12
_cell_angle_gamma 101.84
_space_group_name_H-M_alt 'P 1'
_space_group_IT_number 1
_space_group_name_Hall 'P 1'
loop_
_atom_site_label
_atom_site_type_symbol
_atom_site_fract_x
_atom_site_fract_y
_atom_site_fract_z
Tb1 Tb 0.0000 0.0000 0.0000
Tb2 Tb 0.0808 0.0764 0.5484
Tb3 Tb 0.4773 0.8261 0.0688
Tb4 Tb 0.5748 0.4398 0.4991
Tb5 Tb 0.9079 0.5007 0.0574
Tl1 Tl 0.1000 0.5639 0.5606
Tl2 Tl 0.5695 0.9744 0.6280
Ge1 Ge 0.4148 0.3197 0.0098
# Crystal system: triclinic
# Total magnetization in μB/f.u.: 0.00


Q | # Tb5Tl2Ge (PBE-GGA, relaxed)
data_Tb5Tl2Ge
_chemical_formula_sum 'Tb10 Tl4 Ge2'
_cell_length_a 7.0623
_cell_length_b 12.7428
_cell_length_c 4.9704
_cell_angle_alpha 90.00
_cell_angle_beta 90.00
_cell_angle_gamma 90.00
_space_group_name_H-M_alt 'P b a m'
_space_group_IT_number 55
_space_group_name_Hall '-P 2 2ab'
loop_
_atom_site_label
_atom_site_type_symbol
_atom_site_fract_x
_atom_site_fract_y
_atom_site_fract_z
Tb1 Tb 0.0000 0.0000 0.0000
Tb2 Tb 0.1395 0.2816 0.0000
Tb3 Tb 0.1719 0.5869 0.5000
Tl1 Tl 0.1020 0.8396 0.5000
Ge1 Ge 0.0000 0.5000 0.0000
# Crystal system: orthorhombic
# Total magnetization in μB/f.u.: 0.00


What is the stability order? It is Q, P, from most stable to least stable.


P | # TbUGe2 (PBE-GGA, relaxed)
data_TbUGe2
_chemical_formula_sum 'Tb1 U1 Ge2'
_cell_length_a 3.3172
_cell_length_b 3.3172
_cell_length_c 8.0018
_cell_angle_alpha 90.00
_cell_angle_beta 90.00
_cell_angle_gamma 90.00
_space_group_name_H-M_alt 'P 4/m m m'
_space_group_IT_number 123
_space_group_name_Hall '-P 4 2'
loop_
_atom_site_label
_atom_site_type_symbol
_atom_site_fract_x
_atom_site_fract_y
_atom_site_fract_z
Tb1 Tb 0.0000 0.0000 0.0000
U1 U 0.0000 0.0000 0.5000
Ge1 Ge 0.5000 0.5000 0.2528
# Crystal system: tetragonal
# Total magnetization in μB/f.u.: 2.62


Q | # TbUGe2 (PBE-GGA, relaxed)
data_TbUGe2
_chemical_formula_sum 'Tb3 U3 Ge6'
_cell_length_a 4.1495
_cell_length_b 4.1495
_cell_length_c 19.9819
_cell_angle_alpha 90.00
_cell_angle_beta 90.00
_cell_angle_gamma 120.00
_space_group_name_H-M_alt 'R -3 m'
_space_group_IT_number 166
_space_group_name_Hall '-R 3 2"'
loop_
_atom_site_label
_atom_site_type_symbol
_atom_site_fract_x
_atom_site_fract_y
_atom_site_fract_z
Tb1 Tb 0.0000 0.0000 0.0000
U1 U 0.0000 0.0000 0.5000
Ge1 Ge 0.0000 0.0000 0.2446
# Crystal system: trigonal
# Total magnetization in μB/f.u.: 0.95


What is the stability order? It is Q, P, from most stable to least stable.